The following is a DFT calculation (PBE-GGA) of a relaxed structure of CrTePb3.

total DFT energy (no corrections)	-22.6	eV per cell
offset from the most stable computed form	0.0000	eV/atom
formation energy (no corrections)	0.2595	eV/atom

Lattice parameters (Å, degrees): 5.2978 5.2978 5.2978 90.00 90.00 90.00
Space group Pm-3m (No. 221)
Symmetry-distinct sites (fractional):
Cr  0.0000  0.0000  0.0000 x1
Te  0.5000  0.5000  0.5000 x1
Pb  0.0000  0.0000  0.5000 x3

The following is a DFT calculation (PBE-GGA) of a relaxed structure of Hg2SbAs.

total DFT energy (no corrections)	-16.5	eV per cell
offset from the most stable computed form	0.2398	eV/atom
formation energy (no corrections)	0.2762	eV/atom

Lattice parameters (Å, degrees): 3.7902 5.0463 10.1027 90.00 90.00 90.00
Space group Immm (No. 71)
Symmetry-distinct sites (fractional):
Hg  0.0000  0.0000  0.2363 x4
Sb  0.0000  0.5000  0.0000 x2
As  0.0000  0.5000  0.5000 x2

The following is a DFT calculation (PBE-GGA) of a relaxed structure of CsTl2CdIn.

formation energy from the elements	-0.054	eV per atom
total DFT energy (no corrections)	-19.0	eV per cell

Lattice parameters (Å, degrees): 5.2894 5.2894 12.8703 90.00 90.00 90.00
Space group I-4m2 (No. 119)
Symmetry-distinct sites (fractional):
Cs  0.0000  0.0000  0.0000 x2
Tl  0.0000  0.0000  0.3754 x4
Cd  0.0000  0.5000  0.7500 x2
In  0.0000  0.5000  0.2500 x2

The following is a DFT calculation (PBE-GGA) of a relaxed structure of BeSiTe.

total DFT energy (no corrections)	-49.3	eV per cell
offset from the most stable computed form	0.0385	eV/atom
formation energy (no corrections)	-0.0105	eV/atom

Lattice parameters (Å, degrees): 11.0715 3.9389 6.8540 90.00 107.50 90.00
Space group Cm (No. 8)
Symmetry-distinct sites (fractional):
Be  0.0000  0.0000  0.0000 x2
Be  0.0406  0.5000  0.4919 x2
Si  0.3176  0.5000  0.0747 x2
Si  0.3412  0.0000  0.2809 x2
Te  0.0751  0.5000  0.8594 x2
Te  0.1282  0.0000  0.3708 x2

The following is a DFT calculation (PBE-GGA) of a relaxed structure of YTcSe2.

total DFT energy (no corrections)	-94.2	eV per cell
offset from the most stable computed form	0.8738	eV/atom
formation energy (no corrections)	0.0637	eV/atom

Lattice parameters (Å, degrees): 6.8134 6.8134 6.8134 90.00 90.00 90.00
Space group F-43m (No. 216)
Symmetry-distinct sites (fractional):
Y  0.0000  0.0000  0.0000 x4
Tc  0.2500  0.2500  0.2500 x4
Se  0.0000  0.0000  0.5000 x4
Se  0.2500  0.2500  0.7500 x4

The following is a DFT calculation (PBE-GGA) of a relaxed structure of FeTcMo2H.

total DFT energy (no corrections)	-43.4	eV per cell
offset from the most stable computed form	0.0000	eV/atom

Lattice parameters (Å, degrees): 3.9832 3.9832 3.7482 90.00 90.00 90.00
Space group P4/mmm (No. 123)
Symmetry-distinct sites (fractional):
Fe  0.0000  0.0000  0.0000 x1
Tc  0.5000  0.5000  0.0000 x1
Mo  0.0000  0.5000  0.5000 x2
H  0.0000  0.0000  0.5000 x1

The following is a DFT calculation (PBE-GGA) of a relaxed structure of ZnSbOs2.

total DFT energy (no corrections)	-26.5	eV per cell
offset from the most stable computed form	0.0000	eV/atom
formation energy (no corrections)	0.3407	eV/atom

Lattice parameters (Å, degrees): 2.8965 2.8965 8.3377 90.00 90.00 90.00
Space group P4mm (No. 99)
Symmetry-distinct sites (fractional):
Zn  0.0000  0.0000  0.0000 x1
Sb  0.5000  0.5000  0.6737 x1
Os  0.0000  0.0000  0.4107 x1
Os  0.5000  0.5000  0.2145 x1

The following is a DFT calculation (PBE-GGA) of a relaxed structure of TbTiGe2.

formation energy from the elements	-0.681	eV per atom
total DFT energy (no corrections)	-97.9	eV per cell
offset from the most stable computed form	0.0000	eV/atom

Lattice parameters (Å, degrees): 7.7866 3.8862 10.6173 90.00 90.00 90.00
Space group Pnma (No. 62)
Symmetry-distinct sites (fractional):
Tb  0.1353  0.2500  0.1413 x4
Ti  0.0170  0.7500  0.3990 x4
Ge  0.1584  0.2500  0.8054 x4
Ge  0.2406  0.2500  0.4497 x4

The following is a DFT calculation (PBE-GGA) of a relaxed structure of DyBe2Fe2C.

formation energy from the elements	-0.247	eV per atom
total DFT energy (no corrections)	-39.7	eV per cell

Lattice parameters (Å, degrees): 3.7394 3.7394 5.0370 90.00 90.00 90.00
Space group P4/mmm (No. 123)
Symmetry-distinct sites (fractional):
Dy  0.0000  0.0000  0.0000 x1
Be  0.5000  0.5000  0.2429 x2
Fe  0.0000  0.5000  0.5000 x2
C  0.0000  0.0000  0.5000 x1

The following is a DFT calculation (PBE-GGA) of a relaxed structure of TbCe2Ho.

formation energy from the elements	0.107	eV per atom
total DFT energy (no corrections)	-20.6	eV per cell
offset from the most stable computed form	0.0186	eV/atom

Lattice parameters (Å, degrees): 3.4667 3.4667 10.1048 90.00 90.00 90.00
Space group P4/mmm (No. 123)
Symmetry-distinct sites (fractional):
Tb  0.0000  0.0000  0.0000 x1
Ce  0.5000  0.5000  0.2509 x2
Ho  0.0000  0.0000  0.5000 x1

The following is a DFT calculation (PBE-GGA) of a relaxed structure of Zn2PdPb2.

formation energy from the elements	-0.002	eV per atom
total DFT energy (no corrections)	-30.3	eV per cell
offset from the most stable computed form	0.0000	eV/atom

Lattice parameters (Å, degrees): 6.8526 6.8526 4.6086 90.00 90.00 90.00
Space group P4/mbm (No. 127)
Symmetry-distinct sites (fractional):
Zn  0.1351  0.3649  0.0000 x4
Pd  0.0000  0.0000  0.0000 x2
Pb  0.1804  0.6804  0.5000 x4

The following is a DFT calculation (PBE-GGA) of a relaxed structure of BeV2Re.

formation energy from the elements	0.475	eV per atom
total DFT energy (no corrections)	-130.0	eV per cell

Lattice parameters (Å, degrees): 6.6961 6.6961 4.6781 90.00 90.00 90.00
Space group I-42d (No. 122)
Symmetry-distinct sites (fractional):
Be  0.0000  0.0000  0.0000 x4
V  0.2192  0.7500  0.1250 x8
Re  0.0000  0.0000  0.5000 x4